VASP calculation (GGA-PBE) on a relaxed structure of ZrAg3Br6Cl2.

Cell lengths 13.8789, 7.9410, 6.5455 Å; angles 90.00, 103.42, 90.00 degrees
Space group C2/m (No. 12)
One atom of each set of equivalent atoms:
1 Zr 0.0000 0.0000 0.0000
2 Ag 0.0000 0.5000 0.5000
3 Ag 0.2500 0.2500 0.0000
4 Br 0.1013 0.2395 0.2435
5 Br 0.1273 0.0000 0.7526
6 Cl 0.1557 0.5000 0.7702

Computed properties:
- total DFT energy (no corrections) (eV per atom) = -3.315
- E_form (uncorrected) (eV/atom) = -0.75
- total magnetic moment (μB/f.u.) = 0.0